Rb2AlFeBr6 | GGA-PBE | relaxed

SG: I4/mmm (139)
ΔE_f (raw) in eV per atom: -1.027

Cell: 7.522 7.522 7.522 Å, 120.08 120.08 89.86°
Element x y z (fractional)
Rb 0.250 0.750 0.500
Rb 0.750 0.250 0.500
Al 0.000 0.000 0.000
Fe 0.500 0.500 0.000
Br 0.249 0.249 0.499
Br 0.249 0.751 0.000
Br 0.250 0.250 0.000
Br 0.750 0.750 0.000
Br 0.751 0.249 0.000
Br 0.751 0.751 0.501